! Pr6As2AuSe3 (GGA-PBE, relaxed); values from VASP
&SYSTEM
  ibrav = 0, nat = 12, ntyp = 4
/
ATOMIC_SPECIES
Pr 140.91 Pr.upf
Se 78.96 Se.upf
As 74.92 As.upf
Au 196.97 Au.upf
CELL_PARAMETERS angstrom
-1.632 3.095 -2.456
-6.670 0.801 5.443
7.126 4.495 4.648
ATOMIC_POSITIONS angstrom
Pr 1.360 4.334 4.557
Se -3.455 2.684 5.679
As -0.127 2.279 2.956
Se 2.278 5.706 1.956
Pr 0.495 8.165 6.239
Pr -1.672 0.226 1.396
Pr -1.884 4.726 7.207
As -1.050 6.112 4.679
Au -0.816 1.547 -1.228
Se -4.151 1.948 1.493
Pr 0.707 3.665 0.428
Pr -2.537 4.056 3.077
! N(E_F): 4.97 states/eV/f.u.
! VASP energy: -70.6 eV per cell